VASP calculation (PBE+U) on a relaxed structure of LiCo2AsF.

Properties
Its density of states at the Fermi level is 2.14 states/eV/f.u. The space group is P4/mmm. The calculation puts the total DFT energy (no corrections) at -3.81 eV/atom.

Unit cell a=4.7056 b=3.2113 c=4.7056 alpha=90.00 beta=90.00 gamma=90.00
Last column: nearest neighbours and their distance in Å.
Positions (direct):
1 As 0.5000 0.5000 0.5000  8 Co 2.85
2 Li 0.0000 0.0000 0.0000  2 F 1.61
3 Co 0.0000 0.0000 0.5000  2 Li 2.35
4 Co 0.5000 0.0000 0.0000  2 Li 2.35
5 F 0.0000 0.5000 0.0000  2 Li 1.61